Record 1
RbMn2HgF8: relaxed, PBE+U.

The structure in CIF format:
```
data_RbMn2HgF8
_cell_length_a 5.4350
_cell_length_b 5.3533
_cell_length_c 6.8517
_cell_angle_alpha 91.02
_cell_angle_beta 91.07
_cell_angle_gamma 87.61
_symmetry_space_group_name_H-M 'P 1'
_symmetry_Int_Tables_number 1
loop_
_symmetry_equiv_pos_as_xyz
'x,y,z'
loop_
_atom_site_label
_atom_site_type_symbol
_atom_site_fract_x
_atom_site_fract_y
_atom_site_fract_z
F1 F 0.2354 0.7593 0.2154
Rb1 Rb 0.0000 0.0000 0.5000
Mn1 Mn 0.5031 0.5033 0.7552
F2 F 0.3504 0.3348 0.5204
F3 F 0.3274 0.3143 0.0194
F4 F 0.2281 0.7509 0.7840
F5 F 0.7646 0.2407 0.7846
F6 F 0.6496 0.6652 0.4796
Hg1 Hg 0.0000 0.0000 0.0000
F7 F 0.6726 0.6857 0.9806
Mn2 Mn 0.4969 0.4967 0.2448
F8 F 0.7719 0.2491 0.2160
```

* E: -4.85 eV/atom



Record 2
SrVI2O: relaxed, PBE+U.

The structure in CIF format:
```
data_SrVI2O
_cell_length_a 6.3850
_cell_length_b 6.3850
_cell_length_c 4.3009
_cell_angle_alpha 90.00
_cell_angle_beta 90.00
_cell_angle_gamma 90.00
_symmetry_space_group_name_H-M 'P 1'
_symmetry_Int_Tables_number 1
loop_
_symmetry_equiv_pos_as_xyz
'x,y,z'
loop_
_atom_site_label
_atom_site_type_symbol
_atom_site_fract_x
_atom_site_fract_y
_atom_site_fract_z
I1 I 0.0000 0.5000 0.0000
O1 O 0.0000 0.0000 0.5000
I2 I 0.5000 0.0000 0.0000
Sr1 Sr 0.0000 0.0000 0.0000
V1 V 0.5000 0.5000 0.5000
```

* energy above the most stable polymorph in this dataset: 0.7736 eV per atom
* E: -3.76 eV/atom